No. 1
Computed, not measured: crystalline FePbSe3 at its relaxed geometry at the GGA-PBE level of DFT.

Values from the calculation:
Offset from the most stable computed form, eV per atom: 0.000
Space group: Pm-3m
Density of states at the Fermi level, states/eV/atom: 2.163
Calculated volume, Å³/atom: 22.2
Energy relative to the elements, uncorrected, kJ/mol of formula units: 52
Calculated density, g/cm³: 7.5

```
FePbSe3
1.0
4.8044 0.0000 0.0000
0.0000 4.8044 0.0000
0.0000 0.0000 4.8044
Fe Pb Se
1 1 3
Direct
0.0000 0.0000 0.0000 Fe
0.5000 0.5000 0.5000 Pb
0.0000 0.0000 0.5000 Se
0.0000 0.5000 0.0000 Se
0.5000 0.0000 0.0000 Se
```



No. 2
Computed, not measured: crystalline Fe2PbSe2 at its relaxed geometry at the GGA-PBE level of DFT.

Values from the calculation:
Space group: I4/mmm
Density of states at the Fermi level, states/eV/atom: 2.256
Calculated volume, Å³/atom: 17.8
Energy relative to the elements, uncorrected, kJ/mol of formula units: 148
Calculated density, g/cm³: 8.9

```
Fe2PbSe2
1.0
-2.2450 2.2450 4.4204
2.2450 -2.2450 4.4204
2.2450 2.2450 -4.4204
Fe Pb Se
2 1 2
Direct
0.1327 0.1327 0.0000 Fe
0.8673 0.8673 0.0000 Fe
0.5000 0.5000 0.0000 Pb
0.2500 0.7500 0.5000 Se
0.7500 0.2500 0.5000 Se
```



No. 3
Computed, not measured: crystalline FePbSe2 at its relaxed geometry at the GGA-PBE level of DFT.

Values from the calculation:
Space group: Cm
Density of states at the Fermi level, states/eV/atom: 0.795
Calculated volume, Å³/atom: 25.7
Energy relative to the elements, uncorrected, kJ/mol of formula units: -36
Calculated density, g/cm³: 6.8

```
FePbSe2
1.0
6.4350 -1.7589 0.0000
6.4350 1.7589 0.0000
-1.2726 0.0000 4.5401
Fe Pb Se
1 1 2
Direct
0.0000 0.0000 0.0000 Fe
0.7744 0.7744 0.5290 Pb
0.3880 0.3880 0.1118 Se
0.6094 0.6094 0.8978 Se
```



No. 4
Computed, not measured: crystalline FePbSe2 at its relaxed geometry at the GGA-PBE level of DFT.

Values from the calculation:
Space group: Cmmm
Density of states at the Fermi level, states/eV/atom: 1.123
Calculated volume, Å³/atom: 24.4
Energy relative to the elements, uncorrected, kJ/mol of formula units: 19
Calculated density, g/cm³: 7.2

```
FePbSe2
1.0
1.7881 -3.2146 0.0000
1.7881 3.2146 0.0000
0.0000 0.0000 8.4768
Fe Pb Se
1 1 2
Direct
0.0000 0.0000 0.0000 Fe
0.0000 0.0000 0.5000 Pb
0.5000 0.5000 0.1895 Se
0.5000 0.5000 0.8105 Se
```



No. 5
Computed, not measured: crystalline Fe2PbSe at its relaxed geometry at the GGA-PBE level of DFT.

Values from the calculation:
Offset from the most stable computed form, eV per atom: 0.429
Space group: I-4m2
Density of states at the Fermi level, states/eV/atom: 0.945
Calculated volume, Å³/atom: 18.5
Energy relative to the elements, uncorrected, kJ/mol of formula units: 214
Calculated density, g/cm³: 8.9

```
Fe2PbSe
1.0
-1.8856 1.8856 5.2082
1.8856 -1.8856 5.2082
1.8856 1.8856 -5.2082
Fe Pb Se
2 1 1
Direct
0.0000 0.0000 0.0000 Fe
0.7500 0.2500 0.5000 Fe
0.2500 0.7500 0.5000 Pb
0.5000 0.5000 0.0000 Se
```



No. 6
Computed, not measured: crystalline FePbSe4 at its relaxed geometry at the GGA-PBE level of DFT.

Values from the calculation:
Space group: F-43m
Density of states at the Fermi level, states/eV/atom: 0.886
Calculated volume, Å³/atom: 22.9
Energy relative to the elements, uncorrected, kJ/mol of formula units: 397
Calculated density, g/cm³: 7.0

```
FePbSe4
1.0
0.0000 4.0948 4.0948
4.0948 0.0000 4.0948
4.0948 4.0948 0.0000
Fe Pb Se
1 1 4
Direct
0.0000 0.0000 0.0000 Fe
0.7500 0.7500 0.7500 Pb
0.3737 0.3737 0.3737 Se
0.3737 0.3737 0.8790 Se
0.3737 0.8790 0.3737 Se
0.8790 0.3737 0.3737 Se
```



No. 7
Computed, not measured: crystalline Fe2PbSe at its relaxed geometry at the GGA-PBE level of DFT.

Values from the calculation:
Offset from the most stable computed form, eV per atom: 0.352
Space group: I-42d
Density of states at the Fermi level, states/eV/atom: 1.134
Calculated volume, Å³/atom: 19.6
Energy relative to the elements, uncorrected, kJ/mol of formula units: 184
Calculated density, g/cm³: 8.4

```
Fe2PbSe
1.0
-3.5961 3.5961 3.0335
3.5961 -3.5961 3.0335
3.5961 3.5961 -3.0335
Fe Pb Se
4 2 2
Direct
0.0712 0.6250 0.9462 Fe
0.3750 0.3212 0.4462 Fe
0.6788 0.1250 0.0538 Fe
0.8750 0.9288 0.5538 Fe
0.2500 0.7500 0.5000 Pb
0.5000 0.5000 0.0000 Pb
0.0000 0.0000 0.0000 Se
0.7500 0.2500 0.5000 Se
```



No. 8
Computed, not measured: crystalline FePb4Se at its relaxed geometry at the GGA-PBE level of DFT.

Values from the calculation:
Space group: F-43m
Density of states at the Fermi level, states/eV/atom: 1.160
Calculated volume, Å³/atom: 30.2
Energy relative to the elements, uncorrected, kJ/mol of formula units: 393
Calculated density, g/cm³: 8.8

```
FePb4Se
1.0
0.0000 4.4919 4.4919
4.4919 0.0000 4.4919
4.4919 4.4919 0.0000
Fe Pb Se
1 4 1
Direct
0.0000 0.0000 0.0000 Fe
0.1235 0.6255 0.6255 Pb
0.6255 0.1235 0.6255 Pb
0.6255 0.6255 0.1235 Pb
0.6255 0.6255 0.6255 Pb
0.2500 0.2500 0.2500 Se
```



No. 9
Computed, not measured: crystalline FePbSe2 at its relaxed geometry at the GGA-PBE level of DFT.

Values from the calculation:
Space group: Pm
Density of states at the Fermi level, states/eV/atom: 0.564
Calculated volume, Å³/atom: 27.9
Energy relative to the elements, uncorrected, kJ/mol of formula units: -41
Calculated density, g/cm³: 6.3

```
FePbSe2
1.0
4.4331 0.0000 0.0000
0.0000 4.3015 0.0000
-2.2059 0.0000 5.8526
Fe Pb Se
1 1 2
Direct
0.0000 0.0000 0.0000 Fe
0.3484 0.5000 0.6952 Pb
0.0910 0.5000 0.1785 Se
0.8012 0.0000 0.6007 Se
```



No. 10
Computed, not measured: crystalline FePb2Se at its relaxed geometry at the GGA-PBE level of DFT.

Values from the calculation:
Space group: P4mm
Density of states at the Fermi level, states/eV/atom: 1.014
Calculated volume, Å³/atom: 23.3
Energy relative to the elements, uncorrected, kJ/mol of formula units: 48
Calculated density, g/cm³: 9.8

```
FePb2Se
1.0
3.3241 0.0000 0.0000
0.0000 3.3241 0.0000
0.0000 0.0000 8.4469
Fe Pb Se
1 2 1
Direct
0.0000 0.0000 0.0000 Fe
0.0000 0.0000 0.5990 Pb
0.5000 0.5000 0.2595 Pb
0.5000 0.5000 0.8926 Se
```



No. 11
Computed, not measured: crystalline Fe2PbSe at its relaxed geometry at the GGA-PBE level of DFT.

Values from the calculation:
Offset from the most stable computed form, eV per atom: 0.173
Space group: C2/m
Density of states at the Fermi level, states/eV/atom: 0.990
Calculated volume, Å³/atom: 18.9
Energy relative to the elements, uncorrected, kJ/mol of formula units: 115
Calculated density, g/cm³: 8.7

```
Fe2PbSe
1.0
3.8965 -1.6464 0.0000
3.8965 1.6464 0.0000
-2.1652 0.0000 5.9032
Fe Pb Se
2 1 1
Direct
0.2483 0.2483 0.3454 Fe
0.7517 0.7517 0.6546 Fe
0.5000 0.5000 0.0000 Pb
0.0000 0.0000 0.5000 Se
```



No. 12
Computed, not measured: crystalline FePb2Se at its relaxed geometry at the GGA-PBE level of DFT.

Values from the calculation:
Space group: I-42d
Density of states at the Fermi level, states/eV/atom: 1.358
Calculated volume, Å³/atom: 30.8
Energy relative to the elements, uncorrected, kJ/mol of formula units: 227
Calculated density, g/cm³: 7.4

```
FePb2Se
1.0
-3.1278 3.1278 6.2973
3.1278 -3.1278 6.2973
3.1278 3.1278 -6.2973
Fe Pb Se
2 4 2
Direct
0.0000 0.0000 0.0000 Fe
0.7500 0.2500 0.5000 Fe
0.0725 0.6250 0.9475 Pb
0.3750 0.3225 0.4475 Pb
0.6775 0.1250 0.0525 Pb
0.8750 0.9275 0.5525 Pb
0.2500 0.7500 0.5000 Se
0.5000 0.5000 0.0000 Se
```



No. 13
Computed, not measured: crystalline FePb2Se at its relaxed geometry at the GGA-PBE level of DFT.

Values from the calculation:
Space group: I-4m2
Density of states at the Fermi level, states/eV/atom: 1.187
Calculated volume, Å³/atom: 25.2
Energy relative to the elements, uncorrected, kJ/mol of formula units: 162
Calculated density, g/cm³: 9.0

```
FePb2Se
1.0
-2.1126 2.1126 5.6558
2.1126 -2.1126 5.6558
2.1126 2.1126 -5.6558
Fe Pb Se
1 2 1
Direct
0.0000 0.0000 0.0000 Fe
0.2500 0.7500 0.5000 Pb
0.5000 0.5000 0.0000 Pb
0.7500 0.2500 0.5000 Se
```



No. 14
Computed, not measured: crystalline FePbSe2 at its relaxed geometry at the GGA-PBE level of DFT.

Values from the calculation:
Space group: P2/m
Density of states at the Fermi level, states/eV/atom: 0.648
Calculated volume, Å³/atom: 20.9
Energy relative to the elements, uncorrected, kJ/mol of formula units: -23
Calculated density, g/cm³: 8.3

```
FePbSe2
1.0
4.9105 0.0000 0.0000
0.0000 3.5799 0.0000
-2.4547 0.0000 4.7643
Fe Pb Se
1 1 2
Direct
0.0000 0.0000 0.0000 Fe
0.0000 0.0000 0.5000 Pb
0.3550 0.5000 0.1558 Se
0.6450 0.5000 0.8442 Se
```



No. 15
Computed, not measured: crystalline FePbSe2 at its relaxed geometry at the GGA-PBE level of DFT.

Values from the calculation:
Space group: Imm2
Density of states at the Fermi level, states/eV/atom: 0.771
Calculated volume, Å³/atom: 22.9
Energy relative to the elements, uncorrected, kJ/mol of formula units: -22
Calculated density, g/cm³: 7.6

```
FePbSe2
1.0
-1.7082 1.8890 7.1040
1.7082 -1.8890 7.1040
1.7082 1.8890 -7.1040
Fe Pb Se
1 1 2
Direct
0.0000 0.0000 0.0000 Fe
0.2418 0.7418 0.5000 Pb
0.5690 0.5690 0.0000 Se
0.8702 0.3702 0.5000 Se
```